(1)
RbNaPAu: relaxed, PBE.

Cell and atoms, written as extended XYZ:
```
8
Lattice="6.391 0.000 0.000 0.000 3.660 4.791 0.000 -3.660 4.791" Properties=species:S:1:pos:R:3 pbc="T T T"
Rb 1.598 -2.563 4.791
Rb 4.793 2.563 4.791
Na 1.598 1.084 3.415
Na 4.793 -1.084 3.415
P 1.598 1.795 6.309
P 4.793 -1.795 6.309
Au 0.000 0.000 6.480
Au 3.196 0.000 6.480
```

Results
Space group: No. 40
V in Å³/f.u.: 112.1
E above lowest polymorph in meV/atom: 16
Crystal system: orthorhombic

(2)
RbNaPAu: relaxed, PBE.

Cell and atoms, written as extended XYZ:
```
8
Lattice="5.990 0.000 0.000 0.000 6.077 0.000 -1.570 0.000 6.023" Properties=species:S:1:pos:R:3 pbc="T T T"
Rb -0.062 1.519 1.113
Rb 4.482 4.557 4.910
Na 1.279 4.557 2.927
Na 3.141 1.519 3.096
P 0.511 1.519 4.369
P 3.909 4.557 1.654
Au 2.995 0.000 0.000
Au 2.995 3.038 0.000
```

Results
Space group: No. 11
V in Å³/f.u.: 109.6
E above lowest polymorph in meV/atom: 5
Crystal system: monoclinic

(3)
RbNaP2Au4: relaxed, PBE.

Cell and atoms, written as extended XYZ:
```
8
Lattice="-2.923 2.923 7.350 2.923 -2.923 7.350 2.923 2.923 -7.350" Properties=species:S:1:pos:R:3 pbc="T T T"
Rb 0.000 0.000 0.000
Na 0.000 2.923 3.675
P 2.923 0.000 3.675
P 0.000 0.000 7.350
Au 1.444 -0.137 5.485
Au 2.786 1.479 1.866
Au 1.479 3.059 -1.866
Au 0.137 1.444 9.216
```

Results
Space group: No. 82
V in Å³/f.u.: 251.1
Final energy in Ha/atom: -0.1316
Crystal system: tetragonal

(4)
Na4SbPAu2: relaxed, PBE.

Cell and atoms, written as extended XYZ:
```
8
Lattice="5.840 0.000 0.000 0.000 4.511 3.611 0.000 -4.511 3.611" Properties=species:S:1:pos:R:3 pbc="T T T"
Na 0.000 -2.916 3.611
Na 0.000 2.916 3.611
Na 2.920 -1.657 2.222
Na 2.920 1.657 2.222
Sb 0.000 0.000 2.661
P 2.920 0.000 6.863
Au 1.472 0.000 4.933
Au 4.368 0.000 4.933
```

Results
Space group: No. 38
V in Å³/f.u.: 190.3
Final energy in Ha/atom: -0.1148
Crystal system: orthorhombic

(5)
Na3PbAu2: relaxed, PBE.

Cell and atoms, written as extended XYZ:
```
6
Lattice="0.000 5.088 5.041 2.875 0.000 5.041 2.875 5.088 0.000" Properties=species:S:1:pos:R:3 pbc="T T T"
Na 0.000 0.000 0.000
Na 2.875 3.447 6.670
Na 2.875 6.729 6.670
Pb 2.875 5.088 3.380
Au 1.438 2.544 4.131
Au 4.313 7.632 9.172
```

Results
Space group: No. 42
V in Å³/f.u.: 147.5
Final energy in Ha/atom: -0.0972
Crystal system: orthorhombic

(6)
NaPbAuSe2S: relaxed, PBE.

Cell and atoms, written as extended XYZ:
```
12
Lattice="2.082 -6.165 0.000 2.082 6.165 0.000 0.000 0.000 11.471" Properties=species:S:1:pos:R:3 pbc="T T T"
Na 2.082 3.193 8.603
Na 2.082 -3.193 2.868
Pb 2.082 0.000 0.000
Pb 2.082 0.000 5.736
Au 2.082 5.696 2.868
Au 2.082 -5.696 8.603
Se 2.082 4.079 0.702
Se 2.082 4.079 5.033
Se 2.082 -4.079 6.438
Se 2.082 -4.079 10.769
S 2.082 0.802 2.868
S 2.082 -0.802 8.603
```

Results
Space group: No. 63
V in Å³/f.u.: 147.2
Final energy in Ha/atom: -0.1300
Crystal system: orthorhombic

(7)
NaTe2PbAuS: relaxed, PBE.

Cell and atoms, written as extended XYZ:
```
12
Lattice="2.115 -6.778 0.000 2.115 6.778 0.000 0.000 0.000 11.607" Properties=species:S:1:pos:R:3 pbc="T T T"
Na 2.115 3.892 8.705
Na 2.115 -3.892 2.902
Te 2.115 4.411 0.827
Te 2.115 4.411 4.977
Te 2.115 -4.411 6.630
Te 2.115 -4.411 10.780
Pb 2.115 0.000 0.000
Pb 2.115 0.000 5.804
Au 2.115 6.404 2.902
Au 2.115 -6.404 8.705
S 2.115 0.821 2.902
S 2.115 -0.821 8.705
```

Results
Space group: No. 63
V in Å³/f.u.: 166.4
Final energy in Ha/atom: -0.1253
Crystal system: orthorhombic

(8)
NaPbAu3Se4: relaxed, PBE.

Cell and atoms, written as extended XYZ:
```
9
Lattice="6.377 0.000 0.000 0.000 6.377 0.000 0.000 0.000 6.377" Properties=species:S:1:pos:R:3 pbc="T T T"
Na 0.000 0.000 0.000
Pb 3.188 3.188 3.188
Au 0.000 3.188 3.188
Au 3.188 0.000 3.188
Au 3.188 3.188 0.000
Se 1.569 1.569 1.569
Se 1.569 4.808 4.808
Se 4.808 1.569 4.808
Se 4.808 4.808 1.569
```

Results
Space group: No. 215
V in Å³/f.u.: 259.3
Final energy in Ha/atom: -0.1181
Crystal system: cubic

(9)
NaSnPbAu: relaxed, PBE.

Cell and atoms, written as extended XYZ:
```
8
Lattice="4.566 0.000 0.000 0.000 8.099 0.000 -2.268 0.000 5.673" Properties=species:S:1:pos:R:3 pbc="T T T"
Na 0.000 0.000 0.000
Na 0.015 4.049 1.572
Sn 2.303 1.626 2.413
Sn 2.303 6.472 2.413
Pb 0.013 2.384 4.922
Pb 0.013 5.715 4.922
Au 0.022 0.000 3.034
Au 2.293 4.049 3.963
```

Results
Space group: No. 6
V in Å³/f.u.: 104.9
E above lowest polymorph in meV/atom: 4
Crystal system: monoclinic

(10)
Na4SnPbAu2: relaxed, PBE.

Cell and atoms, written as extended XYZ:
```
8
Lattice="5.012 0.000 0.000 0.000 5.012 0.000 0.000 0.000 7.071" Properties=species:S:1:pos:R:3 pbc="T T T"
Na 0.000 0.000 0.000
Na 0.000 2.506 5.280
Na 2.506 0.000 1.791
Na 2.506 2.506 3.535
Sn 0.000 0.000 3.535
Pb 2.506 2.506 0.000
Au 0.000 2.506 1.866
Au 2.506 0.000 5.205
```

Results
Space group: No. 115
V in Å³/f.u.: 177.6
Final energy in Ha/atom: -0.0991
Crystal system: tetragonal

(11)
NaSnPbAu: relaxed, PBE.

Cell and atoms, written as extended XYZ:
```
8
Lattice="4.593 0.000 0.000 0.000 8.091 0.000 -2.282 0.000 5.664" Properties=species:S:1:pos:R:3 pbc="T T T"
Na 0.003 0.000 0.801
Na 2.308 4.046 4.863
Sn 0.011 6.374 3.901
Sn 2.300 2.329 1.762
Pb 0.011 1.567 4.259
Pb 2.300 5.613 1.405
Au 0.004 3.915 2.356
Au 2.308 7.960 3.308
```

Results
Space group: No. 4
V in Å³/f.u.: 105.2
E above lowest polymorph in meV/atom: 3
Crystal system: monoclinic

(12)
NaSnPbAu: relaxed, PBE.

Cell and atoms, written as extended XYZ:
```
8
Lattice="4.590 0.000 0.000 -2.279 5.632 0.000 -0.005 -0.113 8.135" Properties=species:S:1:pos:R:3 pbc="T T T"
Na 0.005 0.754 2.091
Na 2.301 4.765 6.045
Sn 0.005 4.068 3.696
Sn 2.301 1.451 4.439
Pb 0.007 4.014 0.404
Pb 2.299 1.505 7.731
Au 0.007 2.272 5.902
Au 2.299 3.248 2.233
```

Results
Space group: No. 2
V in Å³/f.u.: 105.2
E above lowest polymorph in meV/atom: 0
Crystal system: triclinic